No. 1
## InRePt2 (PBE-GGA)

Data for a relaxed structure of InRePt2.

POSCAR file:
```
InRePt2
1.0
2.839 0.000 0.000
0.000 4.048 0.000
-0.020 0.000 5.729
In Re Pt
1 1 2
Direct
0.000 0.000 0.000 In
0.000 0.000 0.500 Re
0.500 0.500 0.267 Pt
0.500 0.500 0.733 Pt
```

Calculated values
magnetic moment	0.00	μB/cell
total DFT energy (no corrections)	-6.820	eV/atom


No. 2
## Tb5Al2Cd2 (PBE-GGA)

Data for a relaxed structure of Tb5Al2Cd2.

POSCAR file:
```
Tb5Al2Cd2
1.0
8.298 -3.887 0.000
8.298 3.887 0.000
0.000 0.000 7.691
Tb Al Cd
10 4 4
Direct
0.000 0.000 0.000 Tb
0.054 0.683 0.678 Tb
0.183 0.554 0.178 Tb
0.317 0.946 0.678 Tb
0.446 0.817 0.178 Tb
0.500 0.500 0.500 Tb
0.554 0.183 0.822 Tb
0.683 0.054 0.322 Tb
0.817 0.446 0.822 Tb
0.946 0.317 0.322 Tb
0.118 0.882 0.382 Al
0.382 0.618 0.882 Al
0.618 0.382 0.118 Al
0.882 0.118 0.618 Al
0.219 0.219 0.000 Cd
0.281 0.281 0.500 Cd
0.719 0.719 0.500 Cd
0.781 0.781 0.000 Cd
```

Calculated values
magnetic moment	0.00	μB/cell
total DFT energy (no corrections)	-3.877	eV/atom


Number 2 is which compound? Tb5Al2Cd2